# 1
First-principles (GGA-PBE) data for a relaxed SrHgAs crystal, as listed in the Alexandria database.

Cell lengths 10.9257, 4.5894, 7.0659 Å; angles 90.00, 99.76, 90.00 degrees
Last column: nearest neighbours and their distance in Å.
Space group C2/m (No. 12)
One atom of each set of equivalent atoms:
Sr  0.1195  0.0000  0.2814 [4 per cell]  4 As 3.15-3.23, 5 Hg 3.44-3.51
Hg  0.1103  0.5000  0.9158 [4 per cell]  3 As 2.79-3.10, 1 Hg 2.86
As  0.1772  0.0000  0.7330 [4 per cell]  3 Hg 2.79-3.10

Computed properties:
- energy above the most stable polymorph in this dataset (meV per atom) = 0.0
- total magnetic moment (μB/atom) = 0.00
- ΔE_f (eV/atom) = -0.70

---

# 2
First-principles (GGA-PBE) data for a relaxed SrHg2As2 crystal, as listed in the Alexandria database.

Cell lengths 7.8058, 7.8058, 4.4934 Å; angles 90.00, 90.00, 90.00 degrees
Last column: nearest neighbours and their distance in Å.
Space group P4/mbm (No. 127)
One atom of each set of equivalent atoms:
Sr  0.0000  0.0000  0.0000 [2 per cell]  4 As 3.16
Hg  0.1736  0.3264  0.5000 [4 per cell]  6 As 3.19-3.28
As  0.1102  0.6102  0.0000 [4 per cell]  1 As 2.43

Computed properties:
- total magnetic moment (μB/atom) = 0.00
- ΔE_f (eV/atom) = -0.20

---

# 3
First-principles (GGA-PBE) data for a relaxed SrHgAs crystal, as listed in the Alexandria database.

Cell lengths 7.3078, 7.3078, 7.3078 Å; angles 90.00, 90.00, 90.00 degrees
Last column: nearest neighbours and their distance in Å.
Space group F-43m (No. 216)
One atom of each set of equivalent atoms:
Sr  0.0000  0.0000  0.0000 [4 per cell]  4 Hg 3.16, 4 As 3.16
Hg  0.2500  0.2500  0.7500 [4 per cell]  4 Sr 3.16
As  0.2500  0.2500  0.2500 [4 per cell]  4 Sr 3.16

Computed properties:
- energy above the most stable polymorph in this dataset (meV per atom) = 371.3
- total magnetic moment (μB/atom) = 0.00
- ΔE_f (eV/atom) = -0.33

---

# 4
First-principles (GGA-PBE) data for a relaxed SrHgAs crystal, as listed in the Alexandria database.

Cell lengths 4.3991, 4.3991, 9.6257 Å; angles 90.00, 90.00, 90.00 degrees
Last column: nearest neighbours and their distance in Å.
Space group P4/nmm (No. 129, origin choice 2)
One atom of each set of equivalent atoms:
Sr  0.2500  0.2500  0.1736 [2 per cell]  5 As 3.11-3.19
Hg  0.2500  0.2500  0.5656 [2 per cell]  1 As 2.66
As  0.2500  0.2500  0.8419 [2 per cell]  1 Hg 2.66

Computed properties:
- energy above the most stable polymorph in this dataset (meV per atom) = 149.1
- total magnetic moment (μB/atom) = 0.00
- ΔE_f (eV/atom) = -0.55

---

# 5
First-principles (GGA-PBE) data for a relaxed SrHgAs crystal, as listed in the Alexandria database.

Cell lengths 3.7081, 4.2865, 10.3461 Å; angles 90.00, 90.00, 90.00 degrees
Last column: nearest neighbours and their distance in Å.
Space group Imm2 (No. 44)
One atom of each set of equivalent atoms:
Sr  0.0000  0.0000  0.0000 [2 per cell]  5 Hg 3.28-3.41, 5 As 3.31-3.46
Hg  0.0000  0.0000  0.3172 [2 per cell]  5 As 3.24-3.61, 5 Sr 3.28-3.41
As  0.0000  0.0000  0.6657 [2 per cell]  5 Hg 3.24-3.61, 5 Sr 3.31-3.46

Computed properties:
- energy above the most stable polymorph in this dataset (meV per atom) = 236.3
- total magnetic moment (μB/atom) = 0.00
- ΔE_f (eV/atom) = -0.47

---

# 6
First-principles (GGA-PBE) data for a relaxed SrHgAs2 crystal, as listed in the Alexandria database.

Cell lengths 7.3972, 7.3972, 7.3972 Å; angles 90.00, 90.00, 90.00 degrees
Last column: nearest neighbours and their distance in Å.
Space group F-43m (No. 216)
One atom of each set of equivalent atoms:
Sr  0.0000  0.0000  0.0000 [4 per cell]  4 Hg 3.20, 4 As 3.20
Hg  0.2500  0.2500  0.7500 [4 per cell]  4 As 3.20, 4 Sr 3.20
As  0.0000  0.0000  0.5000 [4 per cell]  4 Hg 3.20, 4 As 3.20
As  0.2500  0.2500  0.2500 [4 per cell]  4 As 3.20, 4 Sr 3.20

Computed properties:
- total magnetic moment (μB/atom) = 0.00
- ΔE_f (eV/atom) = -0.19

---

# 7
First-principles (GGA-PBE) data for a relaxed SrHgAs2 crystal, as listed in the Alexandria database.

Cell lengths 4.2616, 4.2651, 6.7125 Å; angles 90.00, 90.28, 90.00 degrees
Last column: nearest neighbours and their distance in Å.
Space group P2/m (No. 10)
One atom of each set of equivalent atoms:
Sr  0.0000  0.0000  0.0000 [1 per cell]  8 As 3.24, 2 Hg 3.36
Hg  0.0000  0.0000  0.5000 [1 per cell]  2 Sr 3.36, 8 As 3.71-3.73
As  0.4987  0.5000  0.8237 [2 per cell]  1 As 2.37

Computed properties:
- total magnetic moment (μB/atom) = 0.00
- ΔE_f (eV/atom) = -0.41

---

# 8
First-principles (GGA-PBE) data for a relaxed SrHgAs2 crystal, as listed in the Alexandria database.

Cell lengths 3.7991, 3.7991, 7.0881 Å; angles 90.00, 90.00, 90.00 degrees
Last column: nearest neighbours and their distance in Å.
Space group P4mm (No. 99)
One atom of each set of equivalent atoms:
Sr  0.0000  0.0000  0.0000 [1 per cell]  1 As 3.04, 4 Hg 3.39
Hg  0.5000  0.5000  0.7088 [1 per cell]  1 As 2.86
As  0.0000  0.0000  0.4292 [1 per cell]  4 As 2.83, 1 Sr 3.04
As  0.5000  0.5000  0.3057 [1 per cell]  4 As 2.83, 1 Hg 2.86

Computed properties:
- total magnetic moment (μB/atom) = 0.00
- ΔE_f (eV/atom) = -0.31

---

# 9
First-principles (GGA-PBE) data for a relaxed SrHgAs crystal, as listed in the Alexandria database.

Cell lengths 4.5918, 4.5918, 4.6641 Å; angles 90.00, 90.00, 120.00 degrees
Last column: nearest neighbours and their distance in Å.
Space group P3m1 (No. 156)
One atom of each set of equivalent atoms:
Sr  0.0000  0.0000  0.0000 [1 per cell]  3 As 3.23, 3 Hg 3.29
Hg  0.3333  0.6667  0.5817 [1 per cell]  3 As 2.79
As  0.6667  0.3333  0.3957 [1 per cell]  3 Hg 2.79

Computed properties:
- energy above the most stable polymorph in this dataset (meV per atom) = 97.4
- total magnetic moment (μB/atom) = 0.00
- ΔE_f (eV/atom) = -0.60

---

# 10
First-principles (GGA-PBE) data for a relaxed SrHgAs crystal, as listed in the Alexandria database.

Cell lengths 7.2278, 7.2278, 7.2278 Å; angles 90.00, 90.00, 90.00 degrees
Last column: nearest neighbours and their distance in Å.
Space group F-43m (No. 216)
One atom of each set of equivalent atoms:
Sr  0.0000  0.0000  0.0000 [4 per cell]  4 As 3.13
Hg  0.0000  0.0000  0.5000 [4 per cell]  4 As 3.13
As  0.2500  0.2500  0.7500 [4 per cell]  4 Sr 3.13, 4 Hg 3.13

Computed properties:
- energy above the most stable polymorph in this dataset (meV per atom) = 135.5
- total magnetic moment (μB/atom) = 0.00
- ΔE_f (eV/atom) = -0.57

---

# 11
First-principles (GGA-PBE) data for a relaxed SrHg2As2 crystal, as listed in the Alexandria database.

Cell lengths 4.3950, 4.3950, 13.6465 Å; angles 90.00, 90.00, 90.00 degrees
Last column: nearest neighbours and their distance in Å.
Space group I4/mmm (No. 139)
One atom of each set of equivalent atoms:
Sr  0.0000  0.0000  0.0000 [2 per cell]  8 As 3.34
Hg  0.0000  0.5000  0.2500 [4 per cell]  4 As 3.10, 4 Hg 3.11
As  0.0000  0.0000  0.4100 [4 per cell]  1 As 2.46

Computed properties:
- total magnetic moment (μB/atom) = 0.00
- ΔE_f (eV/atom) = -0.33

---

# 12
First-principles (GGA-PBE) data for a relaxed SrHgAs2 crystal, as listed in the Alexandria database.

Cell lengths 8.0311, 8.0311, 6.4948 Å; angles 90.00, 90.00, 90.00 degrees
Last column: nearest neighbours and their distance in Å.
Space group I-42d (No. 122)
One atom of each set of equivalent atoms:
Sr  0.0000  0.0000  0.0000 [4 per cell]  8 As 3.21-3.56, 2 Hg 3.25
Hg  0.0000  0.0000  0.5000 [4 per cell]  4 As 2.72
As  0.2052  0.2500  0.6250 [8 per cell]  2 Hg 2.72

Computed properties:
- total magnetic moment (μB/atom) = 0.00
- ΔE_f (eV/atom) = -0.35